Entry 1:
A plane-wave DFT calculation with PBE was carried out for crystalline GdErPd4 at its relaxed geometry.

Structure (POSCAR):
```
GdErPd4
1.0
0.000 3.849 3.849
3.849 0.000 3.849
3.849 3.849 0.000
Gd Er Pd
1 1 4
Cartesian
0.000 0.000 0.000
1.924 1.924 1.924
4.809 2.888 2.888
2.888 4.809 2.888
2.888 2.888 4.809
4.809 4.809 4.809
```

## Properties
Formation energy from the elements   -811 meV/atom
Crystal system   cubic
Energy   -0.542 Ry per atom

Entry 2:
A plane-wave DFT calculation with PBE was carried out for crystalline GdErSiNi at its relaxed geometry.

Structure (POSCAR):
```
GdErSiNi
1.0
6.908 0.000 0.000
0.000 6.908 0.000
0.000 0.000 6.908
Gd Er Si Ni
4 4 4 4
Cartesian
0.000 0.000 0.000
0.000 3.454 3.454
3.454 0.000 3.454
3.454 3.454 0.000
0.000 0.000 3.454
0.000 3.454 0.000
3.454 0.000 0.000
3.454 3.454 3.454
1.727 1.727 5.181
1.727 5.181 1.727
5.181 1.727 1.727
5.181 5.181 5.181
1.727 1.727 1.727
1.727 5.181 5.181
5.181 1.727 5.181
5.181 5.181 1.727
```

## Properties
Crystal system   cubic
Energy   -0.583 Ry per atom

Entry 3:
A plane-wave DFT calculation with PBE was carried out for crystalline SiSbW at its relaxed geometry.

Structure (POSCAR):
```
SiSbW
1.0
6.311 0.000 0.000
0.000 6.311 0.000
0.000 0.000 6.311
Si Sb W
4 4 4
Cartesian
0.000 0.000 0.000
0.000 3.155 3.155
3.155 0.000 3.155
3.155 3.155 0.000
0.000 0.000 3.155
0.000 3.155 0.000
3.155 0.000 0.000
3.155 3.155 3.155
1.578 1.578 1.578
1.578 4.733 4.733
4.733 1.578 4.733
4.733 4.733 1.578
```

## Properties
Crystal system   cubic
Energy   -0.497 Ry per atom

Entry 4:
A plane-wave DFT calculation with PBE was carried out for crystalline BeOsRu2 at its relaxed geometry.

Structure (POSCAR):
```
BeOsRu2
1.0
3.806 0.000 0.000
0.000 3.806 0.000
0.000 0.000 3.627
Be Os Ru
1 1 2
Cartesian
0.000 0.000 0.000
1.903 1.903 0.000
0.000 1.903 1.813
1.903 0.000 1.813
```

## Properties
Formation energy from the elements   279 meV/atom
Crystal system   tetragonal
Energy   -0.595 Ry per atom

Copy entry 4 word for word.
A plane-wave DFT calculation with PBE was carried out for crystalline BeOsRu2 at its relaxed geometry.

Structure (POSCAR):
```
BeOsRu2
1.0
3.806 0.000 0.000
0.000 3.806 0.000
0.000 0.000 3.627
Be Os Ru
1 1 2
Cartesian
0.000 0.000 0.000
1.903 1.903 0.000
0.000 1.903 1.813
1.903 0.000 1.813
```

## Properties
Formation energy from the elements   279 meV/atom
Crystal system   tetragonal
Energy   -0.595 Ry per atom

- What is the energy in the fourth record?
  -0.595 Ry per atom

- What is the energy in the second record?
  -0.583 Ry per atom

Repeat the second record exactly.
A plane-wave DFT calculation with PBE was carried out for crystalline GdErSiNi at its relaxed geometry.

Structure (POSCAR):
```
GdErSiNi
1.0
6.908 0.000 0.000
0.000 6.908 0.000
0.000 0.000 6.908
Gd Er Si Ni
4 4 4 4
Cartesian
0.000 0.000 0.000
0.000 3.454 3.454
3.454 0.000 3.454
3.454 3.454 0.000
0.000 0.000 3.454
0.000 3.454 0.000
3.454 0.000 0.000
3.454 3.454 3.454
1.727 1.727 5.181
1.727 5.181 1.727
5.181 1.727 1.727
5.181 5.181 5.181
1.727 1.727 1.727
1.727 5.181 5.181
5.181 1.727 5.181
5.181 5.181 1.727
```

## Properties
Crystal system   cubic
Energy   -0.583 Ry per atom